Material: MnCuAs
Method: DFT, PBE-GGA
State: relaxed

Values from the calculation:
E_form   0.121 eV per atom
Symmetry   P3m1, No. 156
Total magnetic moment   3.6 μB/cell

Unit cell a=4.0970 b=4.0970 c=3.0386 alpha=90.00 beta=90.00 gamma=120.00
Atoms (fractional coordinates):
As 0.0000 0.0000 0.0844
Cu 0.3333 0.6667 0.2362
Mn 0.6667 0.3333 0.6794